Computed, not measured: a relaxed structure of Y3Al4Ni4 at the GGA-PBE level of DFT.

The space group is I-43m (No. 217) and the conventional cell measures 7.406, 7.406 and 7.406 Å, with angles of 90.00, 90.00 and 90.00 degrees. The asymmetric unit holds Y at (0.000, 0.000, 0.500), Al at (0.134, 0.134, 0.866) and Ni at (0.187, 0.187, 0.187).

The value obtained for the total energy is -5.6816 eV per atom. The formation energy comes out at -455 meV/atom.